one:
Density functional theory data (GGA-PBEsol) for crystalline CaY2Se at its relaxed geometry.

```
CaY2Se
1.0
2.9552 -5.5971 0.0000
2.9552 5.5971 0.0000
0.0000 0.0000 3.7785
Ca Y Se
1 2 1
Direct
0.0000 0.0000 0.0000 Ca
0.3216 0.6784 0.5000 Y
0.6784 0.3216 0.5000 Y
0.5000 0.5000 0.0000 Se
```

Computed properties:
SG = Cmmm (65)



two:
Density functional theory data (GGA-PBEsol) for crystalline CaY2Se at its relaxed geometry.

```
CaY2Se
1.0
3.5143 0.0000 0.0000
0.0000 3.5143 0.0000
0.0000 0.0000 9.2835
Ca Y Se
1 2 1
Direct
0.0000 0.0000 0.0000 Ca
0.5000 0.5000 0.3161 Y
0.5000 0.5000 0.6839 Y
0.0000 0.0000 0.5000 Se
```

Computed properties:
SG = P4/mmm (123)



Taking the most stable structure as the zero point, the relative energies in kJ/mol of atoms are one 0.0; two 1.8.



one:
Density functional theory data (GGA-PBEsol) for crystalline CaSi2Te at its relaxed geometry.

```
CaSi2Te
1.0
0.0000 3.5435 3.5435
3.5435 0.0000 3.5435
3.5435 3.5435 0.0000
Ca Si Te
1 2 1
Direct
0.0000 0.0000 0.0000 Ca
0.2500 0.2500 0.2500 Si
0.7500 0.7500 0.7500 Si
0.5000 0.5000 0.5000 Te
```

Computed properties:
SG = Fm-3m (225)



two:
Density functional theory data (GGA-PBEsol) for crystalline CaSi2Te at its relaxed geometry.

```
CaSi2Te
1.0
0.0000 3.5484 3.5484
3.5484 0.0000 3.5484
3.5484 3.5484 0.0000
Ca Si Te
1 2 1
Direct
0.0000 0.0000 0.0000 Ca
0.5000 0.5000 0.5000 Si
0.7500 0.7500 0.7500 Si
0.2500 0.2500 0.2500 Te
```

Computed properties:
SG = F-43m (216)



Taking the most stable structure as the zero point, the relative energies in kJ/mol of atoms are one 14.6; two 0.0.



one:
Density functional theory data (GGA-PBEsol) for crystalline CaSiTe at its relaxed geometry.

```
CaSiTe
1.0
0.0000 3.4766 3.4766
3.4766 0.0000 3.4766
3.4766 3.4766 0.0000
Ca Si Te
1 1 1
Direct
0.0000 0.0000 0.0000 Ca
0.7500 0.7500 0.7500 Si
0.5000 0.5000 0.5000 Te
```

Computed properties:
SG = F-43m (216)



two:
Density functional theory data (GGA-PBEsol) for crystalline CaSiTe at its relaxed geometry.

```
CaSiTe
1.0
-1.8587 1.8587 5.1240
1.8587 -1.8587 5.1240
1.8587 1.8587 -5.1240
Ca Si Te
1 1 1
Direct
0.0000 0.0000 0.0000 Ca
0.6812 0.6812 0.0000 Si
0.3137 0.3137 0.0000 Te
```

Computed properties:
SG = I4mm (107)



Taking the most stable structure as the zero point, the relative energies in kJ/mol of atoms are one 18.3; two 0.0.



one:
Density functional theory data (GGA-PBEsol) for crystalline CaSiTe2 at its relaxed geometry.

```
CaSiTe2
1.0
0.0000 3.7316 3.7316
3.7316 0.0000 3.7316
3.7316 3.7316 0.0000
Ca Si Te
1 1 2
Direct
0.0000 0.0000 0.0000 Ca
0.7500 0.7500 0.7500 Si
0.2500 0.2500 0.2500 Te
0.5000 0.5000 0.5000 Te
```

Computed properties:
SG = F-43m (216)



two:
Density functional theory data (GGA-PBEsol) for crystalline CaSiTe2 at its relaxed geometry.

```
CaSiTe2
1.0
-3.2065 3.2065 7.2601
3.2065 -3.2065 7.2601
3.2065 3.2065 -7.2601
Ca Si Te
2 2 4
Direct
0.0000 0.0000 0.0000 Ca
0.7500 0.2500 0.5000 Ca
0.2500 0.7500 0.5000 Si
0.5000 0.5000 0.0000 Si
0.1667 0.6250 0.0417 Te
0.3750 0.4167 0.5417 Te
0.5833 0.1250 0.9583 Te
0.8750 0.8333 0.4583 Te
```

Computed properties:
SG = I-42d (122)



Taking the most stable structure as the zero point, the relative energies in kJ/mol of atoms are one 32.8; two 0.0.



one:
Density functional theory data (GGA-PBEsol) for crystalline SrCa at its relaxed geometry.

```
SrCa
1.0
2.0126 1.1620 6.5492
-2.0126 1.1620 6.5492
0.0000 -2.3239 6.5492
Sr Ca
1 1
Direct
0.0000 0.0000 0.0000 Sr
0.5000 0.5000 0.5000 Ca
```

Computed properties:
SG = R-3m (166)



two:
Density functional theory data (GGA-PBEsol) for crystalline SrCa at its relaxed geometry.

```
SrCa
1.0
4.0347 0.0000 0.0000
0.0000 4.0347 0.0000
0.0000 0.0000 11.2788
Sr Ca
2 2
Direct
0.2500 0.2500 0.1372 Sr
0.7500 0.7500 0.8628 Sr
0.2500 0.2500 0.6126 Ca
0.7500 0.7500 0.3874 Ca
```

Computed properties:
SG = P4/nmm (129)



Taking the most stable structure as the zero point, the relative energies in kJ/mol of atoms are one 1.1; two 0.0.



one:
Density functional theory data (GGA-PBEsol) for crystalline SrCa at its relaxed geometry.

```
SrCa
1.0
4.0183 0.0000 0.0000
-2.0092 3.4800 0.0000
0.0000 0.0000 6.6104
Sr Ca
1 1
Direct
0.0000 0.0000 0.0000 Sr
0.6667 0.3333 0.5000 Ca
```

Computed properties:
SG = P-6m2 (187)



two:
Density functional theory data (GGA-PBEsol) for crystalline SrCa at its relaxed geometry.

```
SrCa
1.0
1.9585 -7.5106 0.0000
1.9585 7.5106 0.0000
0.0000 0.0000 6.3501
Sr Ca
2 2
Direct
0.1740 0.8260 0.7500 Sr
0.8260 0.1740 0.2500 Sr
0.4356 0.5644 0.7500 Ca
0.5644 0.4356 0.2500 Ca
```

Computed properties:
SG = Cmcm (63)



three:
Density functional theory data (GGA-PBEsol) for crystalline SrCa at its relaxed geometry.

```
SrCa
1.0
6.6095 0.0000 0.0000
0.0000 4.0143 0.0000
0.0000 0.0000 6.9493
Sr Ca
2 2
Direct
0.2500 0.0000 0.1707 Sr
0.7500 0.0000 0.8293 Sr
0.2500 0.5000 0.6631 Ca
0.7500 0.5000 0.3369 Ca
```

Computed properties:
SG = Pmma (51)



four:
Density functional theory data (GGA-PBEsol) for crystalline SrCa at its relaxed geometry.

```
SrCa
1.0
0.0000 4.4393 4.4393
4.4393 0.0000 4.4393
4.4393 4.4393 0.0000
Sr Ca
1 1
Direct
0.0000 0.0000 0.0000 Sr
0.2500 0.2500 0.2500 Ca
```

Computed properties:
SG = F-43m (216)



Taking the most stable structure as the zero point, the relative energies in kJ/mol of atoms are one 1.0; two 2.7; three 0.0; four 101.9.



one:
Density functional theory data (GGA-PBEsol) for crystalline SrCa at its relaxed geometry.

```
SrCa
1.0
4.0145 0.0000 0.0000
-2.0072 3.4766 0.0000
0.0000 0.0000 13.2443
Sr Ca
2 2
Direct
0.0000 0.0000 0.0000 Sr
0.0000 0.0000 0.5000 Sr
0.3333 0.6667 0.2500 Ca
0.6667 0.3333 0.7500 Ca
```

Computed properties:
SG = P6_3/mmc (194)



two:
Density functional theory data (GGA-PBEsol) for crystalline SrCa at its relaxed geometry.

```
SrCa
1.0
-2.8438 2.8438 5.6839
2.8438 -2.8438 5.6839
2.8438 2.8438 -5.6839
Sr Ca
2 2
Direct
0.3750 0.6250 0.7500 Sr
0.6250 0.3750 0.2500 Sr
0.1250 0.8750 0.2500 Ca
0.8750 0.1250 0.7500 Ca
```

Computed properties:
SG = I4_1/amd (141)



Taking the most stable structure as the zero point, the relative energies in kJ/mol of atoms are one 0.8; two 0.0.



one:
Density functional theory data (GGA-PBEsol) for crystalline Sr2Ca at its relaxed geometry.

```
Sr2Ca
1.0
-2.0449 2.0449 8.5929
2.0449 -2.0449 8.5929
2.0449 2.0449 -8.5929
Sr Ca
2 1
Direct
0.1616 0.1616 0.0000 Sr
0.8384 0.8384 0.0000 Sr
0.5000 0.5000 0.0000 Ca
```

Computed properties:
SG = I4/mmm (139)



two:
Density functional theory data (GGA-PBEsol) for crystalline Sr2Ca at its relaxed geometry.

```
Sr2Ca
1.0
-1.9701 1.9701 18.7743
1.9701 -1.9701 18.7743
1.9701 1.9701 -18.7743
Sr Ca
4 2
Direct
0.2973 0.5473 0.7500 Sr
0.4527 0.7027 0.7500 Sr
0.5473 0.2973 0.2500 Sr
0.7027 0.4527 0.2500 Sr
0.1250 0.8750 0.2500 Ca
0.8750 0.1250 0.7500 Ca
```

Computed properties:
SG = I4_1/amd (141)



three:
Density functional theory data (GGA-PBEsol) for crystalline Sr2Ca at its relaxed geometry.

```
Sr2Ca
1.0
11.2130 0.0000 0.0000
-5.6065 9.7107 0.0000
0.0000 0.0000 4.0077
Sr Ca
6 3
Direct
0.0000 0.3589 0.0000 Sr
0.0000 0.6942 0.5000 Sr
0.3058 0.3058 0.5000 Sr
0.3589 0.0000 0.0000 Sr
0.6411 0.6411 0.0000 Sr
0.6942 0.0000 0.5000 Sr
0.0000 0.0000 0.0000 Ca
0.3333 0.6667 0.5000 Ca
0.6667 0.3333 0.5000 Ca
```

Computed properties:
SG = P-62m (189)



Taking the most stable structure as the zero point, the relative energies in kJ/mol of atoms are one 0.0; two 7.1; three 2.4.



one:
Density functional theory data (GGA-PBEsol) for crystalline Sr5Ca3 at its relaxed geometry.

```
Sr5Ca3
1.0
5.7486 -5.7721 0.0000
5.7486 5.7721 0.0000
0.0000 0.0000 5.7053
Sr Ca
5 3
Direct
0.0000 0.0000 0.0000 Sr
0.0000 0.5000 0.0000 Sr
0.2549 0.2549 0.5000 Sr
0.5000 0.0000 0.0000 Sr
0.7451 0.7451 0.5000 Sr
0.2536 0.7464 0.5000 Ca
0.5000 0.5000 0.0000 Ca
0.7464 0.2536 0.5000 Ca
```

Computed properties:
SG = Cmmm (65)



two:
Density functional theory data (GGA-PBEsol) for crystalline Sr5Ca3 at its relaxed geometry.

```
Sr5Ca3
1.0
11.1063 0.0000 0.0000
-5.5531 9.6183 0.0000
0.0000 0.0000 7.3447
Sr Ca
10 6
Direct
0.0000 0.2376 0.2500 Sr
0.0000 0.7624 0.7500 Sr
0.2376 0.0000 0.2500 Sr
0.2376 0.2376 0.7500 Sr
0.3333 0.6667 0.0000 Sr
0.3333 0.6667 0.5000 Sr
0.6667 0.3333 0.0000 Sr
0.6667 0.3333 0.5000 Sr
0.7624 0.0000 0.7500 Sr
0.7624 0.7624 0.2500 Sr
0.0000 0.4106 0.7500 Ca
0.0000 0.5894 0.2500 Ca
0.4106 0.0000 0.7500 Ca
0.4106 0.4106 0.2500 Ca
0.5894 0.0000 0.2500 Ca
0.5894 0.5894 0.7500 Ca
```

Computed properties:
SG = P6_3/mcm (193)



Taking the most stable structure as the zero point, the relative energies in kJ/mol of atoms are one 0.0; two 7.0.



one:
Density functional theory data (GGA-PBEsol) for crystalline Sr2CaTa at its relaxed geometry.

```
Sr2CaTa
1.0
3.4682 0.0000 0.0000
0.0000 5.5874 0.0000
-1.7154 0.0000 6.9125
Sr Ca Ta
2 1 1
Direct
0.0000 0.0000 0.0000 Sr
0.3354 0.5000 0.6768 Sr
0.7135 0.0000 0.4399 Ca
0.6095 0.5000 0.2166 Ta
```

Computed properties:
SG = Pm (6)



two:
Density functional theory data (GGA-PBEsol) for crystalline Sr2CaTa at its relaxed geometry.

```
Sr2CaTa
1.0
3.5120 -5.6855 0.0000
3.5120 5.6855 0.0000
-0.9320 0.0000 3.2722
Sr Ca Ta
2 1 1
Direct
0.0000 0.5000 0.0000 Sr
0.5000 0.0000 0.0000 Sr
0.0000 0.0000 0.5000 Ca
0.5000 0.5000 0.5000 Ta
```

Computed properties:
SG = C2/m (12)



three:
Density functional theory data (GGA-PBEsol) for crystalline Sr2CaTa at its relaxed geometry.

```
Sr2CaTa
1.0
1.7575 1.0147 12.2434
-1.7575 1.0147 12.2434
0.0000 -2.0294 12.2434
Sr Ca Ta
2 1 1
Direct
0.2378 0.2378 0.2378 Sr
0.7622 0.7622 0.7622 Sr
0.0000 0.0000 0.0000 Ca
0.5000 0.5000 0.5000 Ta
```

Computed properties:
SG = R-3m (166)



Taking the most stable structure as the zero point, the relative energies in kJ/mol of atoms are one 7.4; two 14.7; three 0.0.



one:
Density functional theory data (GGA-PBEsol) for crystalline SrCa2Tl at its relaxed geometry.

```
SrCa2Tl
1.0
4.6177 0.0000 0.0000
0.0000 5.3746 0.0000
0.0000 0.0000 5.4451
Sr Ca Tl
1 2 1
Direct
0.0000 0.0000 0.0000 Sr
0.0000 0.5000 0.5000 Ca
0.5000 0.0000 0.5000 Ca
0.5000 0.5000 0.0000 Tl
```

Computed properties:
SG = Pmmm (47)



two:
Density functional theory data (GGA-PBEsol) for crystalline SrCa2Tl at its relaxed geometry.

```
SrCa2Tl
1.0
-1.9887 2.9723 6.1116
1.9887 -2.9723 6.1116
1.9887 2.9723 -6.1116
Sr Ca Tl
1 2 1
Direct
0.0000 0.0000 0.0000 Sr
0.2941 0.7941 0.5000 Ca
0.7059 0.2059 0.5000 Ca
0.5000 0.5000 0.0000 Tl
```

Computed properties:
SG = Immm (71)



Taking the most stable structure as the zero point, the relative energies in kJ/mol of atoms are one 4.1; two 0.0.



one:
Density functional theory data (GGA-PBEsol) for crystalline SrCaW2 at its relaxed geometry.

```
SrCaW2
1.0
-1.8623 2.0823 5.3150
1.8623 -2.0823 5.3150
1.8623 2.0823 -5.3150
Sr Ca W
1 1 2
Direct
0.0000 0.0000 0.0000 Sr
0.5000 0.5000 0.0000 Ca
0.2518 0.7518 0.5000 W
0.7482 0.2482 0.5000 W
```

Computed properties:
SG = Immm (71)



two:
Density functional theory data (GGA-PBEsol) for crystalline SrCaW2 at its relaxed geometry.

```
SrCaW2
1.0
3.3806 0.0000 0.0000
0.0000 3.3806 0.0000
0.0000 0.0000 9.2769
Sr Ca W
1 1 2
Direct
0.0000 0.0000 0.0000 Sr
0.5000 0.5000 0.3873 Ca
0.0000 0.0000 0.6278 W
0.5000 0.5000 0.7376 W
```

Computed properties:
SG = P4mm (99)



three:
Density functional theory data (GGA-PBEsol) for crystalline SrCaW2 at its relaxed geometry.

```
SrCaW2
1.0
4.2300 -1.5868 0.0000
4.2300 1.5868 0.0000
-0.5625 0.0000 8.0375
Sr Ca W
1 1 2
Direct
0.0000 0.0000 0.0000 Sr
0.7766 0.7766 0.3952 Ca
0.2468 0.2468 0.7369 W
0.5243 0.5243 0.6323 W
```

Computed properties:
SG = Cm (8)



four:
Density functional theory data (GGA-PBEsol) for crystalline SrCaW2 at its relaxed geometry.

```
SrCaW2
1.0
-1.7366 2.7454 5.1912
1.7366 -2.7454 5.1912
1.7366 2.7454 -5.1912
Sr Ca W
1 1 2
Direct
0.0000 0.0000 0.0000 Sr
0.7108 0.2108 0.5000 Ca
0.2747 0.7747 0.5000 W
0.4351 0.4351 0.0000 W
```

Computed properties:
SG = Imm2 (44)



Taking the most stable structure as the zero point, the relative energies in kJ/mol of atoms are one 55.2; two 0.0; three 22.8; four 27.1.